(1)
AcLaLu4 | Alexandria | PBE | relaxed; E_tot = -4.273 eV per atom; theoretical density = 8189 kg/m3; N(E_F) = 1.406 states/eV/atom; volume = 216 Å³/f.u.; energy of formation from the pure elements = 0.247 eV/atom
1.0
0.000 4.763 4.763
4.763 0.000 4.763
4.763 4.763 0.000
Ac La Lu
1 1 4
Cartesian
0.000 0.000 0.000
7.145 7.145 7.145
3.574 3.574 3.574
5.953 5.953 3.574
5.953 3.574 5.953
3.574 5.953 5.953


(2)
NdSmPuHg | Alexandria | PBE | relaxed; E_tot = -6.006 eV per atom; theoretical density = 10609 kg/m3; N(E_F) = 4.065 states/eV/atom; volume = 116 Å³/f.u.; energy of formation from the pure elements = 0.024 eV/atom
1.0
0.000 3.868 3.868
3.868 0.000 3.868
3.868 3.868 0.000
Nd Sm Pu Hg
1 1 1 1
Cartesian
0.000 0.000 0.000
3.868 3.868 3.868
1.934 1.934 1.934
5.801 5.801 5.801


(3)
KMg6Sn | Alexandria | PBE | relaxed; E_tot = -1.760 eV per atom; theoretical density = 2300 kg/m3; N(E_F) = 0.460 states/eV/atom; volume = 219 Å³/f.u.; energy of formation from the pure elements = 0.073 eV/atom
1.0
5.058 0.000 0.000
0.000 3.155 6.870
0.000 -3.155 6.870
K Mg Sn
1 6 1
Cartesian
0.000 0.000 0.000
0.000 0.000 5.845
0.000 -1.511 9.969
0.000 1.511 9.969
2.529 -1.587 4.938
2.529 0.000 8.094
2.529 1.587 4.938
2.529 0.000 2.343


(4)
CaInAu4 | Alexandria | PBE | relaxed; E_tot = -3.390 eV per atom; theoretical density = 12319 kg/m3; N(E_F) = 0.762 states/eV/atom; volume = 127 Å³/f.u.; energy of formation from the pure elements = -0.415 eV/atom
1.0
0.000 3.990 3.990
3.990 0.000 3.990
3.990 3.990 0.000
Ca In Au
1 1 4
Cartesian
0.000 0.000 0.000
5.986 5.986 5.986
2.993 2.993 2.993
4.988 4.988 2.993
4.988 2.993 4.988
2.993 4.988 4.988


(5)
Sr2HgBiSe5 | Alexandria | PBE | relaxed; E_tot = -3.777 eV per atom; ΔE_f (raw) = -1.00 eV/atom; theoretical density = 6246 kg/m3; N(E_F) = 0.336 states/eV/atom; volume = 260 Å³/f.u.
1.0
2.137 -9.577 0.000
2.137 9.577 0.000
0.000 0.000 12.725
Sr Hg Bi Se
4 2 2 10
Cartesian
2.137 7.633 6.363
2.137 7.275 1.739
2.137 -7.275 8.101
2.137 -7.633 0.000
2.137 0.870 3.559
2.137 -0.870 9.922
2.137 5.286 10.697
2.137 -5.286 4.334
2.137 8.306 11.406
2.137 4.443 6.433
2.137 4.117 2.261
2.137 2.480 10.479
2.137 0.010 7.519
2.137 -0.010 1.157
2.137 -2.480 4.117
2.137 -4.117 8.624
2.137 -4.443 0.071
2.137 -8.306 5.043


(6)
La2RhI | Alexandria | PBE | relaxed; E_tot = -5.353 eV per atom; ΔE_f (raw) = -0.66 eV/atom; theoretical density = 6319 kg/m3; N(E_F) = 1.051 states/eV/atom; volume = 133 Å³/f.u.
1.0
-3.994 3.994 4.181
3.994 -3.994 4.181
3.994 3.994 -4.181
La Rh I
4 2 2
Cartesian
5.991 1.519 -1.045
1.519 1.997 1.045
-1.997 2.475 3.136
2.475 1.997 5.227
0.000 0.000 0.000
0.000 3.994 2.091
3.994 0.000 2.091
0.000 0.000 4.181


(7)
TaAl2Rh | Alexandria | PBE | relaxed; E_tot = -7.090 eV per atom; theoretical density = 9028 kg/m3; N(E_F) = 0.524 states/eV/atom; volume = 62 Å³/f.u.; energy of formation from the pure elements = -0.418 eV/atom
1.0
4.616 -1.471 0.000
4.616 1.471 0.000
-1.155 0.000 4.575
Ta Al Rh
1 2 1
Cartesian
0.000 0.000 0.000
1.370 0.000 3.403
3.948 0.000 2.286
6.624 0.000 1.286


(8)
Tb4Zn5Pt6 | Alexandria | PBE | relaxed; E_tot = -4.920 eV per atom; theoretical density = 11780 kg/m3; N(E_F) = 0.404 states/eV/atom; volume = 301 Å³/f.u.; energy of formation from the pure elements = -0.845 eV/atom
1.0
2.009 -10.166 0.000
2.009 10.166 0.000
0.000 0.000 14.722
Tb Zn Pt
8 10 12
Cartesian
2.009 9.891 7.361
2.009 9.369 11.224
2.009 7.016 4.178
2.009 6.390 13.636
2.009 -6.390 6.275
2.009 -7.016 11.539
2.009 -9.369 3.863
2.009 -9.891 0.000
2.009 6.921 9.066
2.009 3.901 8.784
2.009 3.328 3.839
2.009 2.879 14.225
2.009 1.039 9.733
2.009 -1.039 2.372
2.009 -2.879 6.863
2.009 -3.328 11.200
2.009 -3.901 1.423
2.009 -6.921 1.705
2.009 7.926 1.356
2.009 5.723 6.844
2.009 5.241 10.981
2.009 1.637 5.945
2.009 1.566 1.788
2.009 1.059 12.423
2.009 -1.059 5.062
2.009 -1.566 9.149
2.009 -1.637 13.306
2.009 -5.241 3.620
2.009 -5.723 14.205
2.009 -7.926 8.717